Compound: CeGeOsO
Source: Alexandria
Functional: PBE-GGA
Structure: relaxed

Properties
space-group type: P4/nmm, No. 129
electronic total energy: -32.9 eV per formula unit
theoretical density: 10.2 g/cm³
V: 136 Å³/cell

Cell: 4.0720 4.0720 8.2297 Å, 90.00 90.00 90.00°
With the nearest neighbours (Å) after each atom.
Fractional coordinates of all 8 atoms:
Ce (0.2500, 0.2500, 0.1439)  4 O 2.36
Ce (0.7500, 0.7500, 0.8561)  4 O 2.36
Ge (0.2500, 0.2500, 0.6726)  4 Os 2.48
Ge (0.7500, 0.7500, 0.3274)  4 Os 2.48
Os (0.2500, 0.7500, 0.5000)  4 Ge 2.48
Os (0.7500, 0.2500, 0.5000)  4 Ge 2.48
O (0.2500, 0.7500, 0.0000)  4 Ce 2.36
O (0.7500, 0.2500, 0.0000)  4 Ce 2.36

***

Compound: Ce5GePb2O
Source: Alexandria
Functional: PBE-GGA
Structure: relaxed

Properties
space-group type: P4/mmm, No. 123
electronic total energy: -54.9 eV per formula unit
theoretical density: 7.8 g/cm³
V: 257 Å³/cell

Cell: 4.6665 4.6665 11.8009 Å, 90.00 90.00 90.00°
With the nearest neighbours (Å) after each atom.
Fractional coordinates of all 9 atoms:
Ce (0.0000, 0.0000, 0.0000)  4 Ge 3.30, 2 Pb 3.41
Ce (0.0000, 0.5000, 0.5000)  2 O 2.33
Ce (0.5000, 0.0000, 0.5000)  2 O 2.33
Ce (0.5000, 0.5000, 0.2462)  1 Ge 2.91, 1 O 3.00
Ce (0.5000, 0.5000, 0.7538)  1 Ge 2.91, 1 O 3.00
Ge (0.5000, 0.5000, 0.0000)  2 Ce 2.91
Pb (0.0000, 0.0000, 0.2890)  9 Ce 3.34-3.41
Pb (0.0000, 0.0000, 0.7110)  9 Ce 3.34-3.41
O (0.5000, 0.5000, 0.5000)  4 Ce 2.33

***

Compound: Ce6GePb2O
Source: Alexandria
Functional: PBE-GGA
Structure: relaxed

Properties
space-group type: P4/mmm, No. 123
electronic total energy: -59.5 eV per formula unit
theoretical density: 7.7 g/cm³
V: 290 Å³/cell

Cell: 5.3195 5.3195 10.2381 Å, 90.00 90.00 90.00°
With the nearest neighbours (Å) after each atom.
Fractional coordinates of all 10 atoms:
Ce (0.0000, 0.0000, 0.2252)  1 O 2.31
Ce (0.0000, 0.0000, 0.7748)  1 O 2.31
Ce (0.0000, 0.5000, 0.0000)  2 O 2.66
Ce (0.0000, 0.5000, 0.5000)  2 Ge 2.66
Ce (0.5000, 0.0000, 0.0000)  2 O 2.66
Ce (0.5000, 0.0000, 0.5000)  2 Ge 2.66
Ge (0.0000, 0.0000, 0.5000)  6 Ce 2.66-2.81
Pb (0.5000, 0.5000, 0.2449)  12 Ce 3.66-3.77
Pb (0.5000, 0.5000, 0.7551)  12 Ce 3.66-3.77
O (0.0000, 0.0000, 0.0000)  2 Ce 2.31

***

Compound: Ce4Pm2Ge3O2
Source: Alexandria
Functional: PBE-GGA
Structure: relaxed

Properties
space-group type: I4/mmm, No. 139
electronic total energy: -73.0 eV per formula unit
theoretical density: 6.9 g/cm³
V: 263 Å³/cell

Cell: 12.6481 12.6481 12.6481 Å, 158.85 158.85 30.09°
With the nearest neighbours (Å) after each atom.
Fractional coordinates of all 11 atoms:
Ce (0.0809, 0.5809, 0.5000)  2 O 2.37
Ce (0.4191, 0.9191, 0.5000)  2 O 2.37
Ce (0.5809, 0.0809, 0.5000)  2 O 2.37
Ce (0.9191, 0.4191, 0.5000)  2 O 2.37
Pm (0.2007, 0.2007, 0.0000)  1 O 2.46
Pm (0.7993, 0.7993, 0.0000)  1 O 2.46
Ge (0.3267, 0.3267, 0.0000)  5 Pm 3.08-3.35, 4 Ce 3.24
Ge (0.5000, 0.5000, 0.0000)  8 Ce 3.05
Ge (0.6733, 0.6733, 0.0000)  5 Pm 3.08-3.35, 4 Ce 3.24
O (0.1002, 0.1002, 0.0000)  4 Ce 2.37, 1 Pm 2.46
O (0.8998, 0.8998, 0.0000)  4 Ce 2.37, 1 Pm 2.46